Ga2Hg2Ge meta-GGA SCAN single point on PBEsol structure; calculated formation energy = 337 meV/atom
1.0
-2.7265 2.2813 2.2207
-3.0984 -1.2289 -2.5416
1.8553 -5.2831 3.7492
Hg Ga Ge
2 2 1
Direct
0.2500 0.7500 0.5000
0.7500 0.2500 0.5000
0.4006 0.4006 0.8013
0.5994 0.5994 0.1987
0.0000 0.0000 0.0000